Ho8Tm2In | PBE | relaxed

extended XYZ file:
```
11
Lattice="-1.366 -5.151 0.578 4.077 -0.381 6.240 -8.187 5.095 1.197" Properties=species:S:1:pos:R:3 pbc="T T T"
Ho -2.491 0.849 1.680
Ho -5.895 1.775 1.884
Ho -8.495 -0.154 3.396
Tm -4.871 -1.148 3.113
Tm -0.606 0.711 4.903
Ho 3.018 -0.282 4.619
Ho -2.985 -1.286 6.336
In -0.683 -2.575 0.289
Ho -1.478 -2.035 3.229
Ho 0.418 -2.212 6.131
Ho -3.999 1.598 4.787
```

For the density of states at the Fermi level, the calculation gives 1.46 states/eV per atom. For the raw total energy, the calculation gives -0.32236 Ry/atom.

---

Ho2TmIn | PBE | relaxed

extended XYZ file:
```
4
Lattice="4.803 0.000 0.000 0.000 4.811 0.000 0.000 0.000 4.811" Properties=species:S:1:pos:R:3 pbc="T T T"
Ho 0.000 2.405 0.000
Ho 0.000 0.000 2.405
Tm 2.401 2.405 2.405
In 2.401 0.000 0.000
```

For the density of states at the Fermi level, the calculation gives 1.31 states/eV per atom. For the raw total energy, the calculation gives -0.32000 Ry/atom.

---

HoTmIn6 | PBE | relaxed

extended XYZ file:
```
8
Lattice="4.620 0.000 0.000 0.000 4.620 0.000 0.000 0.000 9.247" Properties=species:S:1:pos:R:3 pbc="T T T"
In 2.310 0.000 2.301
In 0.000 2.310 6.947
Tm 0.000 0.000 0.000
In 2.310 2.310 0.000
Ho 0.000 0.000 4.624
In 2.310 0.000 6.947
In 2.310 2.310 4.624
In 0.000 2.310 2.301
```

For the density of states at the Fermi level, the calculation gives 0.39 states/eV per atom. For the raw total energy, the calculation gives -0.26221 Ry/atom.

---

Y6Ho3Tm2In | PBE | relaxed

extended XYZ file:
```
12
Lattice="-3.673 -1.627 -4.589 6.004 -1.002 -0.392 -2.186 -9.389 6.439" Properties=species:S:1:pos:R:3 pbc="T T T"
Y 1.627 -2.849 1.048
Y -1.556 -3.055 -0.333
Y -1.069 -7.722 3.616
Ho 3.299 -5.801 2.129
Y 1.700 -8.963 1.790
Y -1.483 -9.169 0.410
Y 1.214 -4.296 -2.158
Ho -3.155 -6.218 -0.671
Tm 2.772 -1.211 -1.793
Tm -0.442 -1.418 -3.187
Ho 0.072 -6.009 0.729
In 0.000 0.000 0.000
```

For the density of states at the Fermi level, the calculation gives 1.47 states/eV per atom. For the raw total energy, the calculation gives -0.39560 Ry/atom.

---

Y2Ho6Tm3In | PBE | relaxed

extended XYZ file:
```
12
Lattice="6.039 -0.002 0.005 -3.020 5.229 0.005 -1.021 -1.768 11.414" Properties=species:S:1:pos:R:3 pbc="T T T"
Tm 4.017 -0.013 5.712
Tm -2.019 3.472 5.712
Ho -0.022 -0.038 8.552
Tm 0.999 1.730 5.712
Y 0.005 3.482 0.005
Ho 0.014 3.468 8.571
In 0.000 0.000 0.000
Ho -0.999 1.714 2.854
Ho 1.984 -0.008 2.854
Ho 2.020 3.497 2.873
Y 3.014 1.745 0.005
Ho 2.997 1.745 8.571
```

For the density of states at the Fermi level, the calculation gives 1.37 states/eV per atom. For the raw total energy, the calculation gives -0.34936 Ry/atom.

---

Y6Ho2Tm3In | PBE | relaxed

extended XYZ file:
```
12
Lattice="-5.315 -1.534 2.532 1.783 -2.645 -5.181 6.407 -6.809 6.877" Properties=species:S:1:pos:R:3 pbc="T T T"
Y 3.942 -6.146 4.514
Ho -2.945 -1.905 -0.044
Y 0.992 -8.089 4.446
Tm 1.437 -5.494 2.114
Y -1.068 -4.842 -0.286
Tm -0.931 -5.123 4.686
Y -0.452 -2.533 2.318
Y 3.326 -8.454 1.910
Ho -0.588 -2.274 -2.605
Tm 3.804 -5.864 -0.458
Y 1.882 -2.899 -0.218
In 0.000 0.000 0.000
```

For the density of states at the Fermi level, the calculation gives 1.43 states/eV per atom. For the raw total energy, the calculation gives -0.39517 Ry/atom.

---

Y3Ho6Tm2In | PBE | relaxed

extended XYZ file:
```
12
Lattice="6.078 -0.003 -0.006 -3.040 5.263 -0.006 -1.007 -1.744 11.381" Properties=species:S:1:pos:R:3 pbc="T T T"
Y -2.025 3.514 5.684
Ho -0.004 -0.006 8.579
Tm 0.005 3.505 -0.006
Ho 2.034 3.523 2.789
In 0.000 0.000 0.000
Y 1.015 1.758 5.684
Ho 3.034 1.782 8.588
Y 4.056 0.002 5.684
Ho 0.028 3.519 8.588
Tm 3.033 1.756 -0.006
Ho -1.003 1.734 2.780
Ho 2.003 -0.002 2.780
```

For the density of states at the Fermi level, the calculation gives 1.41 states/eV per atom. For the raw total energy, the calculation gives -0.36091 Ry/atom.

---

HoTmZnIn | PBE | relaxed

extended XYZ file:
```
4
Lattice="-2.377 -2.291 -1.452 1.689 0.260 -3.176 4.342 -5.671 1.844" Properties=species:S:1:pos:R:3 pbc="T T T"
In 0.134 -1.640 -2.111
Ho 3.637 -4.751 1.544
Zn 2.273 -4.434 -1.202
Tm 1.638 -2.140 0.695
```

For the density of states at the Fermi level, the calculation gives 0.81 states/eV per atom. For the raw total energy, the calculation gives -0.27001 Ry/atom.

---

HoTmZnIn | PBE | relaxed

extended XYZ file:
```
4
Lattice="-1.421 4.273 2.501 -3.230 -0.311 4.000 1.721 0.883 4.774" Properties=species:S:1:pos:R:3 pbc="T T T"
Tm -1.465 2.423 5.637
In -0.732 1.211 2.819
Zn -2.197 3.634 8.456
Ho 0.000 0.000 0.000
```

For the density of states at the Fermi level, the calculation gives 0.92 states/eV per atom. For the raw total energy, the calculation gives -0.26828 Ry/atom.

---

HoTmZrIn | PBE | relaxed

extended XYZ file:
```
4
Lattice="-3.183 -0.954 -4.128 -4.007 -3.434 0.482 -5.000 1.753 0.049" Properties=species:S:1:pos:R:3 pbc="T T T"
Zr -9.143 -1.976 -2.697
Ho 0.000 0.000 0.000
Tm -6.095 -1.317 -1.798
In -3.048 -0.659 -0.899
```

For the density of states at the Fermi level, the calculation gives 0.72 states/eV per atom. For the raw total energy, the calculation gives -0.37899 Ry/atom.

---

HoUIn | PBE | relaxed

extended XYZ file:
```
6
Lattice="3.549 0.000 0.000 0.000 5.317 0.167 -1.774 -0.903 8.205" Properties=species:S:1:pos:R:3 pbc="T T T"
In 1.774 4.229 1.397
Ho 1.774 2.889 6.854
Ho 0.000 1.525 1.518
U 0.000 3.952 4.116
U 1.774 0.462 4.255
In 0.000 0.184 6.975
```

For the density of states at the Fermi level, the calculation gives 1.52 states/eV per atom. For the raw total energy, the calculation gives -0.46311 Ry/atom.

---

Y5Ho2In5 | PBE | relaxed

extended XYZ file:
```
12
Lattice="5.058 0.000 0.000 -2.529 5.989 -0.331 0.000 -3.551 11.460" Properties=species:S:1:pos:R:3 pbc="T T T"
In 2.529 0.048 8.781
In 0.000 2.390 2.348
Y 2.529 1.814 -0.069
In 0.000 0.000 0.000
Ho 2.529 4.274 2.458
Y 2.529 -1.776 5.730
In 0.000 0.327 5.206
Y 0.000 1.783 8.027
In 2.529 2.111 5.923
Ho 0.000 -1.836 8.670
Y 0.000 0.624 11.197
Y 2.529 0.655 3.102
```

For the density of states at the Fermi level, the calculation gives 1.00 states/eV per atom. For the raw total energy, the calculation gives -0.36195 Ry/atom.

---

The records above give, respectively, formation enthalpy at 0 K values of 5.3 -262.4 -382.6 -32.5 -41.0 -35.5 -32.1 -408.3 -384.7 -72.5 -99.4 -327.2 meV/atom.